[1]
DFT (GGA-PBE) results for a relaxed structure of RbLaTeO4.

Summary:
Space-group type: P2_1/m (11)
Spin magnetization: 0.0 μB/f.u.
DOS at the Fermi energy: 0.00 states/eV/atom
DFT total energy: -86.29 eV for the cell shown
Uncorrected formation energy: -196.74 kJ per mole of atoms

The structure in POSCAR format:
```
RbLaTeO4
1.0
-2.152 2.338 -5.184
-5.762 -1.577 1.681
0.313 5.684 6.402
Te O La Rb
2 8 2 2
Direct
0.155 0.750 0.253 Te
0.845 0.250 0.747 Te
0.611 0.250 0.513 O
0.544 0.250 0.803 O
0.011 0.489 0.677 O
0.456 0.750 0.197 O
0.389 0.750 0.487 O
0.989 0.989 0.323 O
0.989 0.511 0.323 O
0.011 0.011 0.677 O
0.779 0.750 0.465 La
0.221 0.250 0.535 La
0.433 0.750 0.857 Rb
0.567 0.250 0.143 Rb
```

[2]
DFT (GGA-PBE) results for a relaxed structure of DyZrSi2.

Summary:
Space-group type: Amm2 (38)
Spin magnetization: 0.0 μB/f.u.
DOS at the Fermi energy: 0.41 states/eV/atom
DFT total energy: -27.32 eV for the cell shown
Uncorrected formation energy: -80.09 kJ per mole of atoms

The structure in POSCAR format:
```
DyZrSi2
1.0
-2.364 -1.304 2.962
1.596 -3.448 -0.244
4.724 2.048 1.956
Zr Si Dy
1 2 1
Direct
0.722 0.000 0.982 Zr
0.007 0.000 0.553 Si
0.163 0.500 0.866 Si
0.439 0.500 0.417 Dy
```

[3]
DFT (GGA-PBE) results for a relaxed structure of AlSe3.

Summary:
Space-group type: Cmcm (63)
Spin magnetization: 0.0 μB/f.u.
DOS at the Fermi energy: 0.51 states/eV/atom
DFT total energy: -27.74 eV for the cell shown
Uncorrected formation energy: 7.91 kJ per mole of atoms

The structure in POSCAR format:
```
AlSe3
1.0
3.711 -6.416 0.000
3.711 6.416 0.000
0.000 0.000 4.062
Se Al
6 2
Direct
0.953 0.601 0.250 Se
0.047 0.399 0.750 Se
0.399 0.047 0.250 Se
0.601 0.953 0.750 Se
0.066 0.934 0.750 Se
0.934 0.066 0.250 Se
0.432 0.568 0.750 Al
0.568 0.432 0.250 Al
```

[4]
DFT (GGA-PBE) results for a relaxed structure of RbCdF3.

Summary:
Space-group type: Fd-3m (227)
Spin magnetization: 0.0 μB/f.u.
DOS at the Fermi energy: 0.00 states/eV/atom
DFT total energy: -77.75 eV for the cell shown
Uncorrected formation energy: -230.44 kJ per mole of atoms

The structure in POSCAR format:
```
RbCdF3
1.0
0.000 5.846 5.846
5.846 0.000 5.846
5.846 5.846 0.000
Rb Cd F
4 4 12
Direct
0.625 0.125 0.125 Rb
0.125 0.125 0.125 Rb
0.125 0.125 0.625 Rb
0.125 0.625 0.125 Rb
0.125 0.625 0.625 Cd
0.625 0.625 0.125 Cd
0.625 0.125 0.625 Cd
0.625 0.625 0.625 Cd
0.957 0.957 0.543 F
0.707 0.293 0.293 F
0.957 0.543 0.957 F
0.293 0.707 0.293 F
0.543 0.957 0.543 F
0.543 0.543 0.957 F
0.293 0.293 0.707 F
0.543 0.957 0.957 F
0.707 0.707 0.293 F
0.957 0.543 0.543 F
0.293 0.707 0.707 F
0.707 0.293 0.707 F
```

[5]
DFT (GGA-PBE) results for a relaxed structure of K2NaZn.

Summary:
Space-group type: P4/mmm (123)
Formation energy: 0.131 eV/atom
Spin magnetization: 0.0 μB/f.u.
DOS at the Fermi energy: 0.63 states/eV/atom
DFT total energy: -4.26 eV for the cell shown

The structure in POSCAR format:
```
K2NaZn
1.0
4.876 0.000 0.000
0.000 5.953 0.000
0.000 0.000 5.953
Na K Zn
1 2 1
Direct
0.500 0.500 0.500 Na
0.000 0.500 0.000 K
0.000 0.000 0.500 K
0.500 0.000 0.000 Zn
```

[6]
DFT (GGA-PBE) results for a relaxed structure of PmPr5In4.

Summary:
Space-group type: P4/mmm (123)
Formation energy: -0.381 eV/atom
Spin magnetization: 0.0 μB/f.u.
DOS at the Fermi energy: 0.80 states/eV/atom
DFT total energy: -43.41 eV for the cell shown

The structure in POSCAR format:
```
PmPr5In4
1.0
3.646 0.000 0.000
0.000 3.646 0.000
0.000 0.000 23.126
Pr In Pm
5 4 1
Direct
0.500 0.500 0.692 Pr
0.500 0.500 0.500 Pr
0.500 0.500 0.884 Pr
0.500 0.500 0.116 Pr
0.500 0.500 0.308 Pr
0.000 0.000 0.789 In
0.000 0.000 0.404 In
0.000 0.000 0.596 In
0.000 0.000 0.211 In
0.000 0.000 0.000 Pm
```

[7]
DFT (GGA-PBE) results for a relaxed structure of EuMg2Al.

Summary:
Space-group type: Fm-3m (225)
Formation energy: -0.096 eV/atom
Spin magnetization: 7.1 μB/f.u.
DOS at the Fermi energy: 0.41 states/eV/atom
DFT total energy: -17.59 eV for the cell shown

The structure in POSCAR format:
```
EuMg2Al
1.0
5.094 0.000 0.000
2.547 4.412 0.000
2.547 1.471 4.159
Eu Mg Al
1 2 1
Direct
0.000 0.000 0.000 Eu
0.250 0.250 0.250 Mg
0.750 0.750 0.750 Mg
0.500 0.500 0.500 Al
```

[8]
DFT (GGA-PBE) results for a relaxed structure of TlCd6Hg3.

Summary:
Space-group type: Cmc2_1 (36)
Formation energy: 0.042 eV/atom
Spin magnetization: 0.0 μB/f.u.
DOS at the Fermi energy: 0.32 states/eV/atom
DFT total energy: -16.68 eV for the cell shown

The structure in POSCAR format:
```
TlCd6Hg3
1.0
6.432 0.000 0.000
0.000 9.140 -0.396
0.000 -2.425 8.821
Cd Hg Tl
12 6 2
Direct
0.574 0.221 0.779 Cd
0.314 0.020 0.489 Cd
0.074 0.779 0.221 Cd
0.314 0.511 0.980 Cd
0.613 0.548 0.732 Cd
0.814 0.489 0.020 Cd
0.113 0.452 0.268 Cd
0.779 0.012 0.988 Cd
0.113 0.732 0.548 Cd
0.814 0.980 0.511 Cd
0.613 0.268 0.452 Cd
0.279 0.988 0.012 Cd
0.517 0.855 0.708 Hg
0.672 0.592 0.408 Hg
0.172 0.408 0.592 Hg
0.017 0.708 0.855 Hg
0.517 0.292 0.145 Hg
0.017 0.145 0.292 Hg
0.573 0.811 0.189 Tl
0.073 0.189 0.811 Tl
```

[9]
DFT (GGA-PBE) results for a relaxed structure of CsSe2BrF.

Summary:
Space-group type: P4/mmm (123)
Spin magnetization: 4.2 μB/f.u.
DOS at the Fermi energy: 2.53 states/eV/atom
DFT total energy: -7.81 eV for the cell shown
Uncorrected formation energy: 68.61 kJ per mole of atoms

The structure in POSCAR format:
```
CsSe2BrF
1.0
5.830 0.000 0.000
0.000 5.830 0.000
0.000 0.000 6.325
Cs Se Br F
1 2 1 1
Direct
0.000 0.000 0.000 Cs
0.500 0.000 0.000 Se
0.000 0.500 0.000 Se
0.000 0.000 0.500 Br
0.500 0.500 0.500 F
```

[10]
DFT (GGA-PBE) results for a relaxed structure of ReAgCl.

Summary:
Space-group type: F-43m (216)
Spin magnetization: 0.2 μB/f.u.
DOS at the Fermi energy: 1.17 states/eV/atom
DFT total energy: -12.65 eV for the cell shown
Uncorrected formation energy: 144.66 kJ per mole of atoms

The structure in POSCAR format:
```
ReAgCl
1.0
4.337 0.000 0.000
2.169 3.756 0.000
2.169 1.252 3.541
Cl Re Ag
1 1 1
Direct
0.500 0.500 0.500 Cl
0.750 0.750 0.750 Re
0.000 0.000 0.000 Ag
```